A relaxed Li3NiN crystal. Source: Alexandria, functional PBE.

Cell: 4.429 4.429 4.429 Å, 90.00 90.00 90.00°
Site moments in Bohr magnetons follow the coordinates.
Atoms (fractional coordinates):
N 0.500 0.500 0.500  1.18
Li 0.000 0.500 0.000  -0.01
Li 0.500 0.000 0.000  -0.01
Li 0.000 0.000 0.500  -0.01
Ni 0.000 0.000 0.000  0.49

Results
The theoretical density comes out at 1.788 g/cm3. The value obtained for the electronic total energy is -2.856 eV per atom. As for the energy relative to the elements, uncorrected: 25.679 kcal/mol of atoms. For the volume, the calculation gives 87 Å³/cell.

---

A relaxed ZnBr2F crystal. Source: Alexandria, functional PBE.

Cell: 4.694 4.694 4.694 Å, 60.00 60.00 60.00°
Site moments in Bohr magnetons follow the coordinates.
Atoms (fractional coordinates):
Br 0.750 0.750 0.750  0.31
Br 0.250 0.250 0.250  0.31
Zn 0.500 0.500 0.500  -0.01
F 0.000 0.000 0.000  0.24

Results
The theoretical density comes out at 5.545 g/cm3. The value obtained for the electronic total energy is -1.884 eV per atom. As for the energy relative to the elements, uncorrected: -6.034 kcal/mol of atoms. For the volume, the calculation gives 73 Å³/cell.

---

A relaxed La4Th3TaN8 crystal. Source: Alexandria, functional PBE.

Cell: 7.195 7.274 7.196 Å, 119.65 120.00 90.00°
Atoms (fractional coordinates):
La 0.500 0.000 0.000
La 0.000 0.000 0.500
La 0.500 0.000 0.500
La 0.000 0.000 0.000
Th 0.500 0.500 0.000
Th 0.500 0.500 0.500
Th 0.000 0.500 0.500
N 0.218 0.707 0.436
N 0.782 0.293 0.011
N 0.229 0.293 0.011
N 0.742 0.726 0.484
N 0.218 0.707 0.989
N 0.258 0.274 0.516
N 0.771 0.707 0.989
N 0.782 0.293 0.564
Ta 0.000 0.500 0.000

Results
The theoretical density comes out at 9.581 g/cm3. The value obtained for the electronic total energy is -8.930 eV per atom. As for the energy relative to the elements, uncorrected: -32.364 kcal/mol of atoms. For the volume, the calculation gives 268 Å³/cell.

---

A relaxed NdZrCuNi crystal. Source: Alexandria, functional PBE.

Cell: 4.797 4.797 4.797 Å, 60.00 60.00 60.00°
Atoms (fractional coordinates):
Nd 0.750 0.750 0.750
Ni 0.500 0.500 0.500
Zr 0.250 0.250 0.250
Cu 0.000 0.000 0.000

Results
The theoretical density comes out at 7.612 g/cm3. The value obtained for the electronic total energy is -5.882 eV per atom. For the volume, the calculation gives 78 Å³/cell. The formation energy comes out at -8.08 kJ/mol of atoms.

---

A relaxed K3In4Ga2 crystal. Source: Alexandria, functional PBE.

Cell: 7.525 9.975 9.975 Å, 61.33 70.75 70.75°
Atoms (fractional coordinates):
K 0.116 0.011 0.782
K 0.250 0.484 0.516
K 0.884 0.989 0.218
K 0.750 0.516 0.484
K 0.384 0.218 0.989
K 0.616 0.782 0.011
In 0.957 0.828 0.602
In 0.543 0.398 0.172
In 0.137 0.615 0.127
In 0.363 0.873 0.385
In 0.863 0.385 0.873
In 0.043 0.172 0.398
In 0.637 0.127 0.615
In 0.457 0.602 0.828
Ga 0.416 0.142 0.412
Ga 0.916 0.412 0.142
Ga 0.084 0.588 0.858
Ga 0.584 0.858 0.588

Results
The theoretical density comes out at 3.919 g/cm3. The value obtained for the electronic total energy is -2.346 eV per atom. For the volume, the calculation gives 607 Å³/cell. The formation energy comes out at -8.71 kJ/mol of atoms.

---

A relaxed ScHgN3 crystal. Source: Alexandria, functional PBE.

Cell: 4.205 4.205 4.205 Å, 90.00 90.00 90.00°
Site moments in Bohr magnetons follow the coordinates.
Atoms (fractional coordinates):
Hg 0.500 0.500 0.500  -0.04
Sc 0.000 0.000 0.000  0.00
N 0.000 0.000 0.500  1.04
N 0.000 0.500 0.000  0.92
N 0.500 0.000 0.000  0.76

Results
The theoretical density comes out at 6.424 g/cm3. The value obtained for the electronic total energy is -5.102 eV per atom. As for the energy relative to the elements, uncorrected: 28.141 kcal/mol of atoms. For the volume, the calculation gives 74 Å³/cell.

---

- Which of these has the highest volume?
  K3In4Ga2